Record 1
This record from Alexandria describes YTm4Sn4 after structural relaxation. The functional is PBE.

a b c (Å): 9.6996 9.6996 6.0560
angles (deg): 90.00 90.00 90.00
Sites, in units of the cell vectors:
Y: 0.2500 0.2500 0.2500
Y: 0.7500 0.7500 0.7500
Tm: 0.0932 0.6507 0.1412
Tm: 0.1507 0.9068 0.6412
Tm: 0.3493 0.5932 0.6412
Tm: 0.4068 0.8493 0.1412
Tm: 0.5932 0.1507 0.8588
Tm: 0.6507 0.4068 0.3588
Tm: 0.8493 0.0932 0.3588
Tm: 0.9068 0.3493 0.8588
Sn: 0.0314 0.6166 0.6506
Sn: 0.1166 0.9686 0.1506
Sn: 0.3834 0.5314 0.1506
Sn: 0.4686 0.8834 0.6506
Sn: 0.5314 0.1166 0.3494
Sn: 0.6166 0.4686 0.8494
Sn: 0.8834 0.0314 0.8494
Sn: 0.9686 0.3834 0.3494

The space-group type is P4_2/n (86). The volume is 285 Å³/f.u. The total energy comes out at -87.7 eV/cell.

=====

Record 2
This record from Alexandria describes Y3Tm4Sn4 after structural relaxation. The functional is PBE.

a b c (Å): 9.8424 9.8424 9.8424
angles (deg): 155.89 124.06 61.78
Sites, in units of the cell vectors:
Y: 0.0000 0.0000 0.0000
Y: 0.3933 0.8933 0.5000
Y: 0.6067 0.1067 0.5000
Tm: 0.0231 0.3291 0.6940
Tm: 0.3649 0.6709 0.6940
Tm: 0.6351 0.3291 0.3060
Tm: 0.9769 0.6709 0.3060
Sn: 0.2524 0.2524 0.0000
Sn: 0.2884 0.5000 0.7884
Sn: 0.7116 0.5000 0.2116
Sn: 0.7476 0.7476 0.0000

The space-group type is Immm (71). The volume is 321 Å³/f.u. The total energy comes out at -59.0 eV/cell.